No. 1
Nd7CoI12: optimized geometry, PBE.

The density comes out at 5.2 g/cm³. The uncorrected formation energy is -24.53 eV per formula unit. The calculation puts the calculated total energy at -4.181 eV/atom.

It has space group R-3 (No. 148, hexagonal axes), with a = 16.0563 Å, b = 16.0563 Å, c = 11.2265 Å, α = 90.00°, β = 90.00° and γ = 120.00°. The asymmetric unit holds Nd at (0.0000, 0.0000, 0.0000), Nd at (0.0419, 0.8848, 0.3619), Co at (0.0000, 0.0000, 0.5000), I at (0.0197, 0.4332, 0.1588) and I at (0.0487, 0.8711, 0.8363).

***

No. 2
Nd6CoNi2I3: optimized geometry, PBE.

The density comes out at 6.6 g/cm³. The uncorrected formation energy is -7.73 eV per formula unit. The calculation puts the calculated total energy at -4.972 eV/atom.

It has space group C2/m (No. 12), with a = 7.1277 Å, b = 12.3498 Å, c = 8.4328 Å, α = 90.00°, β = 106.36° and γ = 90.00°. The asymmetric unit holds Nd at (0.2239, 0.1631, 0.1825), Nd at (0.2350, 0.5000, 0.1830), Co at (0.0000, 0.0000, 0.0000), Ni at (0.0000, 0.3334, 0.0000), I at (0.0000, 0.1669, 0.5000) and I at (0.0000, 0.5000, 0.5000).

***

No. 3
Nd4CoNiI2: optimized geometry, PBE.

The density comes out at 6.7 g/cm³. The uncorrected formation energy is -5.02 eV per formula unit. The calculation puts the calculated total energy at -5.010 eV/atom.

It has space group P2/m (No. 10), with a = 7.1147 Å, b = 4.1022 Å, c = 8.4413 Å, α = 90.00°, β = 106.33° and γ = 90.00°. The asymmetric unit holds Nd at (0.2216, 0.0000, 0.1820), Nd at (0.2670, 0.5000, 0.8181), Co at (0.0000, 0.5000, 0.0000), Ni at (0.5000, 0.0000, 0.0000), I at (0.0000, 0.0000, 0.5000) and I at (0.5000, 0.5000, 0.5000).

***

No. 4
Nd8CoNi3I4: optimized geometry, PBE.

The density comes out at 6.6 g/cm³. The uncorrected formation energy is -10.36 eV per formula unit. The calculation puts the calculated total energy at -4.947 eV/atom.

It has space group R-3m (No. 166, hexagonal axes), with a = 8.2460 Å, b = 8.2460 Å, c = 24.2647 Å, α = 90.00°, β = 90.00° and γ = 120.00°. The asymmetric unit holds Nd at (0.0000, 0.0000, 0.2273), Nd at (0.0057, 0.5028, 0.2275), Co at (0.0000, 0.0000, 0.5000), Ni at (0.0000, 0.5000, 0.5000), I at (0.0000, 0.0000, 0.0000) and I at (0.0000, 0.5000, 0.0000).

***

No. 5
Nd8Co3NiI4: optimized geometry, PBE.

The density comes out at 6.7 g/cm³. The uncorrected formation energy is -9.68 eV per formula unit. The calculation puts the calculated total energy at -5.070 eV/atom.

It has space group C2/m (No. 12), with a = 14.1344 Å, b = 8.1825 Å, c = 9.3770 Å, α = 90.00°, β = 120.16° and γ = 90.00°. The asymmetric unit holds Nd at (0.0245, 0.2456, 0.3181), Nd at (0.2273, 0.0000, 0.6831), Nd at (0.2298, 0.5000, 0.6817), Co at (0.0000, 0.0000, 0.5000), Co at (0.2500, 0.2500, 0.5000), Ni at (0.0000, 0.5000, 0.5000), I at (0.0000, 0.0000, 0.0000), I at (0.0000, 0.5000, 0.0000) and I at (0.2500, 0.2500, 0.0000).

***

No. 6
Nd6Co2NiI3: optimized geometry, PBE.

The density comes out at 6.7 g/cm³. The uncorrected formation energy is -7.38 eV per formula unit. The calculation puts the calculated total energy at -5.052 eV/atom.

It has space group C2/m (No. 12), with a = 7.0847 Å, b = 12.2690 Å, c = 8.4463 Å, α = 90.00°, β = 106.23° and γ = 90.00°. The asymmetric unit holds Nd at (0.2202, 0.0000, 0.1823), Nd at (0.2311, 0.3297, 0.1826), Co at (0.0000, 0.1667, 0.0000), Ni at (0.0000, 0.5000, 0.0000), I at (0.0000, 0.0000, 0.5000) and I at (0.0000, 0.3335, 0.5000).

***

No. 7
Nd6CoOs2I3: optimized geometry, PBE.

The density comes out at 7.7 g/cm³. The uncorrected formation energy is -6.25 eV per formula unit. The calculation puts the calculated total energy at -5.756 eV/atom.

It has space group C2/m (No. 12), with a = 7.1796 Å, b = 12.4331 Å, c = 8.5055 Å, α = 90.00°, β = 106.35° and γ = 90.00°. The asymmetric unit holds Nd at (0.2271, 0.1652, 0.1854), Nd at (0.2316, 0.5000, 0.1852), Co at (0.0000, 0.0000, 0.0000), Os at (0.0000, 0.3333, 0.0000), I at (0.0000, 0.1680, 0.5000) and I at (0.0000, 0.5000, 0.5000).

***

No. 8
Nd8CoP3I4: optimized geometry, PBE.

The density comes out at 6.3 g/cm³. The uncorrected formation energy is -18.30 eV per formula unit. The calculation puts the calculated total energy at -5.374 eV/atom.

It has space group R-3m (No. 166, hexagonal axes), with a = 8.4591 Å, b = 8.4591 Å, c = 23.0926 Å, α = 90.00°, β = 90.00° and γ = 120.00°. The asymmetric unit holds Nd at (0.0000, 0.0000, 0.2303), Nd at (0.0151, 0.5075, 0.2292), Co at (0.0000, 0.0000, 0.5000), P at (0.0000, 0.5000, 0.5000), I at (0.0000, 0.0000, 0.0000) and I at (0.0000, 0.5000, 0.0000).

***

Which value of density does entry 7 give? 7.7 g/cm³

***

Number 2 is which compound? Nd6CoNi2I3

***

Number 7 is which compound? Nd6CoOs2I3

***

Which formula does entry 7 have? Nd6CoOs2I3